Below is a geometry-optimized ScCoNi3 structure, with properties calculated at the PBE-GGA level.

Calculated values
E_form ... 0.4273 eV per atom
D(E_F) ... 0.923 states/eV per atom
Size of the total moment ... 3.137 μB per formula unit
Calculated density ... 5.93 g cm⁻³
Offset from the most stable computed form ... 115 meV per atom

Cell and atoms, written as CIF:
```
data_ScCoNi3
_chemical_formula_sum 'Sc1 Co1 Ni3'
_space_group_name_H-M_alt 'P m -3 m'
_space_group_IT_number 221
_space_group_name_Hall '-P 4 2 3'
_cell_length_a 4.2808
_cell_length_b 4.2808
_cell_length_c 4.2808
_cell_angle_alpha 90.00
_cell_angle_beta 90.00
_cell_angle_gamma 90.00
loop_
_atom_site_label
_atom_site_fract_x
_atom_site_fract_y
_atom_site_fract_z
Sc1 0.0000 0.0000 0.0000
Co1 0.5000 0.5000 0.5000
Ni1 0.0000 0.5000 0.5000
```

---

Below is a geometry-optimized PmU2TcC4 structure, with properties calculated at the PBE-GGA level.

Calculated values
E_form ... -0.0450 eV per atom
D(E_F) ... 0.996 states/eV per atom
Size of the total moment ... 0.420 μB per formula unit
Calculated density ... 10.52 g cm⁻³

Cell and atoms, written as CIF:
```
data_PmU2TcC4
_chemical_formula_sum 'Pm4 U8 Tc4 C16'
_space_group_name_H-M_alt 'C m c m'
_space_group_IT_number 63
_space_group_name_Hall '-C 2c 2'
_cell_length_a 3.5995
_cell_length_b 11.7081
_cell_length_c 11.4926
_cell_angle_alpha 90.00
_cell_angle_beta 90.00
_cell_angle_gamma 90.00
loop_
_atom_site_label
_atom_site_fract_x
_atom_site_fract_y
_atom_site_fract_z
Pm1 0.0000 0.1166 0.2500
U1 0.0000 0.3714 0.0461
Tc1 0.0000 0.1455 0.7500
C1 0.0000 0.0000 0.0000
C2 0.0000 0.2582 0.6170
C3 0.0000 0.4429 0.2500
```

---

Below is a geometry-optimized Rb3Sm2ScTe6 structure, with properties calculated at the PBE-GGA level.

Calculated values
Size of the total moment ... 0.000 μB per formula unit
Calculated density ... 5.01 g cm⁻³
Raw formation energy ... -1.34 eV per atom

Cell and atoms, written as CIF:
```
data_Rb3Sm2ScTe6
_chemical_formula_sum 'Rb6 Sm4 Sc2 Te12'
_space_group_name_H-M_alt 'C 1 2/m 1'
_space_group_IT_number 12
_cell_length_a 7.8286
_cell_length_b 13.5623
_cell_length_c 8.9316
_cell_angle_alpha 90.00
_cell_angle_beta 107.03
_cell_angle_gamma 90.00
loop_
_space_group_symop_operation_xyz
'x,y,z'
'-x,-y,-z'
'-x,y,-z'
'x,-y,z'
'x+1/2,y+1/2,z'
'-x+1/2,-y+1/2,-z'
'-x+1/2,y+1/2,-z'
'x+1/2,-y+1/2,z'
loop_
_atom_site_label
_atom_site_fract_x
_atom_site_fract_y
_atom_site_fract_z
Rb1 0.0000 0.0000 0.0000
Rb2 0.0000 0.3288 0.0000
Sm1 0.0000 0.1661 0.5000
Sc1 0.0000 0.5000 0.5000
Te1 0.2247 0.3410 0.6976
Te2 0.2489 0.0000 0.6992
```

---

Below is a geometry-optimized DyPa2Os structure, with properties calculated at the PBE-GGA level.

Calculated values
E_form ... 0.3292 eV per atom
D(E_F) ... 2.194 states/eV per atom
Size of the total moment ... 0.993 μB per formula unit
Calculated density ... 11.99 g cm⁻³
Offset from the most stable computed form ... 325 meV per atom

Cell and atoms, written as CIF:
```
data_DyPa2Os
_chemical_formula_sum 'Dy3 Pa6 Os3'
_space_group_name_H-M_alt 'R -3 m'
_space_group_IT_number 166
_space_group_name_Hall '-R 3 2"'
_cell_length_a 3.6305
_cell_length_b 3.6305
_cell_length_c 29.6555
_cell_angle_alpha 90.00
_cell_angle_beta 90.00
_cell_angle_gamma 120.00
loop_
_atom_site_label
_atom_site_fract_x
_atom_site_fract_y
_atom_site_fract_z
Dy1 0.0000 0.0000 0.0000
Pa1 0.0000 0.0000 0.1070
Os1 0.0000 0.0000 0.5000
```

---

Below is a geometry-optimized Ca3Al9Zn2 structure, with properties calculated at the PBE-GGA level.

Calculated values
E_form ... -0.2255 eV per atom
D(E_F) ... 0.271 states/eV per atom
Size of the total moment ... 0.000 μB per formula unit
Calculated density ... 2.92 g cm⁻³

Cell and atoms, written as CIF:
```
data_Ca3Al9Zn2
_chemical_formula_sum 'Ca6 Al18 Zn4'
_space_group_name_H-M_alt 'I m m m'
_space_group_IT_number 71
_space_group_name_Hall '-I 2 2'
_cell_length_a 4.4006
_cell_length_b 10.1393
_cell_length_c 12.5870
_cell_angle_alpha 90.00
_cell_angle_beta 90.00
_cell_angle_gamma 90.00
loop_
_atom_site_label
_atom_site_fract_x
_atom_site_fract_y
_atom_site_fract_z
Ca1 0.0000 0.0000 0.0000
Ca2 0.0000 0.0000 0.3063
Al1 0.0000 0.2799 0.1397
Al2 0.0000 0.3685 0.3453
Al3 0.0000 0.5000 0.0000
Zn1 0.0000 0.1931 0.5000
```

---

Below is a geometry-optimized Ac2HfN2O2 structure, with properties calculated at the PBE-GGA level.

Calculated values
Size of the total moment ... 0.000 μB per formula unit
Calculated density ... 9.84 g cm⁻³
Raw formation energy ... -2.34 eV per atom

Cell and atoms, written as CIF:
```
data_Ac2HfN2O2
_chemical_formula_sum 'Ac4 Hf2 N4 O4'
_space_group_name_H-M_alt 'I 4/m m m'
_space_group_IT_number 139
_space_group_name_Hall '-I 4 2'
_cell_length_a 4.2749
_cell_length_b 4.2749
_cell_length_c 12.7902
_cell_angle_alpha 90.00
_cell_angle_beta 90.00
_cell_angle_gamma 90.00
loop_
_atom_site_label
_atom_site_fract_x
_atom_site_fract_y
_atom_site_fract_z
Ac1 0.0000 0.0000 0.1356
Hf1 0.0000 0.0000 0.5000
N1 0.0000 0.5000 0.0000
O1 0.0000 0.0000 0.3281
```

---

Below is a geometry-optimized La4ErAg5 structure, with properties calculated at the PBE-GGA level.

Calculated values
E_form ... -0.2703 eV per atom
D(E_F) ... 0.846 states/eV per atom
Size of the total moment ... 0.000 μB per formula unit
Calculated density ... 7.77 g cm⁻³

Cell and atoms, written as CIF:
```
data_La4ErAg5
_chemical_formula_sum 'La4 Er1 Ag5'
_space_group_name_H-M_alt 'P 4/m m m'
_space_group_IT_number 123
_space_group_name_Hall '-P 4 2'
_cell_length_a 3.7329
_cell_length_b 3.7329
_cell_length_c 19.3656
_cell_angle_alpha 90.00
_cell_angle_beta 90.00
_cell_angle_gamma 90.00
loop_
_atom_site_label
_atom_site_fract_x
_atom_site_fract_y
_atom_site_fract_z
La1 0.0000 0.0000 0.1022
La2 0.0000 0.0000 0.3074
Er1 0.0000 0.0000 0.5000
Ag1 0.5000 0.5000 0.0000
Ag2 0.5000 0.5000 0.2044
Ag3 0.5000 0.5000 0.4146
```

---

Below is a geometry-optimized BaCdPd4 structure, with properties calculated at the PBE-GGA level.

Calculated values
E_form ... -0.3471 eV per atom
D(E_F) ... 1.133 states/eV per atom
Size of the total moment ... 0.000 μB per formula unit
Calculated density ... 9.20 g cm⁻³
Offset from the most stable computed form ... 0 meV per atom

Cell and atoms, written as CIF:
```
data_BaCdPd4
_chemical_formula_sum 'Ba4 Cd4 Pd16'
_space_group_name_H-M_alt 'F -4 3 m'
_space_group_IT_number 216
_space_group_name_Hall 'F -4 2 3'
_cell_length_a 7.8721
_cell_length_b 7.8721
_cell_length_c 7.8721
_cell_angle_alpha 90.00
_cell_angle_beta 90.00
_cell_angle_gamma 90.00
loop_
_atom_site_label
_atom_site_fract_x
_atom_site_fract_y
_atom_site_fract_z
Ba1 0.0000 0.0000 0.0000
Cd1 0.2500 0.2500 0.2500
Pd1 0.1243 0.1243 0.6243
```

---

Below is a geometry-optimized Nd7DyTm4 structure, with properties calculated at the PBE-GGA level.

Calculated values
E_form ... 0.0060 eV per atom
D(E_F) ... 1.350 states/eV per atom
Size of the total moment ... 0.000 μB per formula unit
Calculated density ... 7.69 g cm⁻³
Offset from the most stable computed form ... 0 meV per atom

Cell and atoms, written as CIF:
```
data_Nd7DyTm4
_chemical_formula_sum 'Nd7 Dy1 Tm4'
_space_group_name_H-M_alt 'P -1'
_space_group_IT_number 2
_cell_length_a 6.3102
_cell_length_b 7.2690
_cell_length_c 8.9524
_cell_angle_alpha 89.97
_cell_angle_beta 76.44
_cell_angle_gamma 89.99
loop_
_space_group_symop_operation_xyz
'x,y,z'
'-x,-y,-z'
loop_
_atom_site_label
_atom_site_fract_x
_atom_site_fract_y
_atom_site_fract_z
Nd1 0.0000 0.0000 0.0000
Nd2 0.2214 0.5005 0.3346
Nd3 0.2815 0.7504 0.6641
Nd4 0.4991 0.2463 0.9976
Dy1 0.0000 0.5000 0.0000
Tm1 0.2188 0.0003 0.3361
Tm2 0.2770 0.2458 0.6667
```

---

Below is a geometry-optimized BC2 structure, with properties calculated at the PBE-GGA level.

Calculated values
E_form ... 0.3147 eV per atom
D(E_F) ... 0.067 states/eV per atom
Size of the total moment ... 0.000 μB per formula unit
Calculated density ... 3.00 g cm⁻³
Offset from the most stable computed form ... 75 meV per atom

Cell and atoms, written as CIF:
```
data_BC2
_chemical_formula_sum 'B8 C16'
_space_group_name_H-M_alt 'C 1 m 1'
_space_group_IT_number 8
_cell_length_a 8.5679
_cell_length_b 2.5454
_cell_length_c 7.8940
_cell_angle_alpha 90.00
_cell_angle_beta 116.46
_cell_angle_gamma 90.00
loop_
_space_group_symop_operation_xyz
'x,y,z'
'x,-y,z'
'x+1/2,y+1/2,z'
'x+1/2,-y+1/2,z'
loop_
_atom_site_label
_atom_site_fract_x
_atom_site_fract_y
_atom_site_fract_z
B1 0.0000 0.0000 0.0000
B2 0.0049 0.5000 0.3993
B3 0.1780 0.0000 0.7224
B4 0.2090 0.0000 0.2672
C1 0.0046 0.0000 0.5342
C2 0.0143 0.5000 0.8820
C3 0.1797 0.5000 0.8651
C4 0.1826 0.5000 0.3744
C5 0.3276 0.0000 0.1638
C6 0.3410 0.5000 0.0627
C7 0.3452 0.5000 0.5703
C8 0.3505 0.0000 0.6904
```

---

Below is a geometry-optimized K3C4 structure, with properties calculated at the PBE-GGA level.

Calculated values
E_form ... 1.7014 eV per atom
D(E_F) ... 0.404 states/eV per atom
Size of the total moment ... 3.403 μB per formula unit
Calculated density ... 1.61 g cm⁻³
Offset from the most stable computed form ... 0 meV per atom

Cell and atoms, written as CIF:
```
data_K3C4
_chemical_formula_sum 'K3 C4'
_space_group_name_H-M_alt 'P 6/m m m'
_space_group_IT_number 191
_space_group_name_Hall '-P 6 2'
_cell_length_a 8.5375
_cell_length_b 8.5375
_cell_length_c 2.7016
_cell_angle_alpha 90.00
_cell_angle_beta 90.00
_cell_angle_gamma 120.00
loop_
_atom_site_label
_atom_site_fract_x
_atom_site_fract_y
_atom_site_fract_z
K1 0.0000 0.5000 0.0000
C1 0.0000 0.0000 0.2499
C2 0.3333 0.6667 0.5000
```

---

Below is a geometry-optimized CsKSbBr2 structure, with properties calculated at the PBE-GGA level.

Calculated values
D(E_F) ... 0.000 states/eV per atom
Size of the total moment ... 3.000 μB per formula unit
Calculated density ... 2.88 g cm⁻³
Raw formation energy ... -0.49 eV per atom

Cell and atoms, written as CIF:
```
data_CsKSbBr2
_chemical_formula_sum 'Cs1 K1 Sb1 Br2'
_space_group_name_H-M_alt 'P 4/m m m'
_space_group_IT_number 123
_space_group_name_Hall '-P 4 2'
_cell_length_a 6.1631
_cell_length_b 6.1631
_cell_length_c 6.8856
_cell_angle_alpha 90.00
_cell_angle_beta 90.00
_cell_angle_gamma 90.00
loop_
_atom_site_label
_atom_site_fract_x
_atom_site_fract_y
_atom_site_fract_z
Cs1 0.0000 0.0000 0.0000
K1 0.0000 0.0000 0.5000
Sb1 0.5000 0.5000 0.0000
Br1 0.0000 0.5000 0.5000
```

---

Below is a geometry-optimized GaSiHg2Br structure, with properties calculated at the PBE-GGA level.

Calculated values
D(E_F) ... 0.368 states/eV per atom
Size of the total moment ... 0.000 μB per formula unit
Calculated density ... 6.95 g cm⁻³
Raw formation energy ... 0.27 eV per atom

Cell and atoms, written as CIF:
```
data_GaSiHg2Br
_chemical_formula_sum 'Ga1 Si1 Hg2 Br1'
_space_group_name_H-M_alt 'P 4/m m m'
_space_group_IT_number 123
_space_group_name_Hall '-P 4 2'
_cell_length_a 5.2746
_cell_length_b 5.2746
_cell_length_c 4.9718
_cell_angle_alpha 90.00
_cell_angle_beta 90.00
_cell_angle_gamma 90.00
loop_
_atom_site_label
_atom_site_fract_x
_atom_site_fract_y
_atom_site_fract_z
Ga1 0.0000 0.0000 0.0000
Si1 0.0000 0.0000 0.5000
Hg1 0.0000 0.5000 0.0000
Br1 0.5000 0.5000 0.5000
```

---

Below is a geometry-optimized TaMnRe structure, with properties calculated at the PBE-GGA level.

Calculated values
E_form ... 0.0010 eV per atom
D(E_F) ... 1.003 states/eV per atom
Size of the total moment ... 0.000 μB per formula unit
Calculated density ... 15.39 g cm⁻³
Offset from the most stable computed form ... 0 meV per atom

Cell and atoms, written as CIF:
```
data_TaMnRe
_chemical_formula_sum 'Ta4 Mn4 Re4'
_space_group_name_H-M_alt 'C 1 2/m 1'
_space_group_IT_number 12
_cell_length_a 9.1564
_cell_length_b 4.0392
_cell_length_c 6.4046
_cell_angle_alpha 90.00
_cell_angle_beta 129.72
_cell_angle_gamma 90.00
loop_
_space_group_symop_operation_xyz
'x,y,z'
'-x,-y,-z'
'-x,y,-z'
'x,-y,z'
'x+1/2,y+1/2,z'
'-x+1/2,-y+1/2,-z'
'-x+1/2,y+1/2,-z'
'x+1/2,-y+1/2,z'
loop_
_atom_site_label
_atom_site_fract_x
_atom_site_fract_y
_atom_site_fract_z
Ta1 0.0683 0.0000 0.3158
Mn1 0.1518 0.5000 0.6784
Re1 0.1691 0.5000 0.0771
```

---

Number 1: energy -5.73 eV per atom. Number 2: energy -9.37 eV per atom. Number 3: energy -4.47 eV per atom. Number 4: energy -8.38 eV per atom. Number 5: energy -3.24 eV per atom. Number 6: energy -8.73 eV per atom. Number 7: energy -4.12 eV per atom. Number 8: energy -4.28 eV per atom. Number 9: energy -4.65 eV per atom. Number 10: energy -8.06 eV per atom. Number 11: energy -4.04 eV per atom. Number 12: energy -2.37 eV per atom. Number 13: energy -1.88 eV per atom. Number 14: energy -11.16 eV per atom.